(1)
An optimized crystal structure of LiZr2Sc, computed with PBE.

```
data_LiZr2Sc
_cell_length_a 5.152
_cell_length_b 5.152
_cell_length_c 3.252
_cell_angle_alpha 90.00
_cell_angle_beta 90.00
_cell_angle_gamma 90.00
_symmetry_space_group_name_H-M 'P 4/m m m'
_symmetry_Int_Tables_number 123
_symmetry_space_group_name_Hall '-P 4 2'
loop_
_atom_site_label
_atom_site_type_symbol
_atom_site_fract_x
_atom_site_fract_y
_atom_site_fract_z
_atom_site_occupancy
Li1 Li 0.000 0.000 0.000 1
Zr1 Zr 0.000 0.500 0.500 1
Sc1 Sc 0.500 0.500 0.000 1
```

Computed properties:
E_form	0.259	eV per atom

---

(2)
An optimized crystal structure of LaNd9In2, computed with PBE.

```
data_LaNd9In2
_cell_length_a 5.020
_cell_length_b 5.020
_cell_length_c 15.499
_cell_angle_alpha 90.00
_cell_angle_beta 90.00
_cell_angle_gamma 90.00
_symmetry_space_group_name_H-M 'P 4/m m m'
_symmetry_Int_Tables_number 123
_symmetry_space_group_name_Hall '-P 4 2'
loop_
_atom_site_label
_atom_site_type_symbol
_atom_site_fract_x
_atom_site_fract_y
_atom_site_fract_z
_atom_site_occupancy
La1 La 0.000 0.000 0.000 1
Nd1 Nd 0.000 0.500 0.177 1
Nd2 Nd 0.000 0.500 0.500 1
Nd3 Nd 0.500 0.500 0.000 1
Nd4 Nd 0.500 0.500 0.341 1
In1 In 0.000 0.000 0.339 1
```

Computed properties:
E_form	-0.167	eV per atom

---

(3)
An optimized crystal structure of Y3ScTl4, computed with PBE.

```
data_Y3ScTl4
_cell_length_a 3.719
_cell_length_b 3.719
_cell_length_c 15.255
_cell_angle_alpha 90.00
_cell_angle_beta 90.00
_cell_angle_gamma 90.00
_symmetry_space_group_name_H-M 'P 4/m m m'
_symmetry_Int_Tables_number 123
_symmetry_space_group_name_Hall '-P 4 2'
loop_
_atom_site_label
_atom_site_type_symbol
_atom_site_fract_x
_atom_site_fract_y
_atom_site_fract_z
_atom_site_occupancy
Y1 Y 0.000 0.000 0.000 1
Y2 Y 0.000 0.000 0.259 1
Sc1 Sc 0.000 0.000 0.500 1
Tl1 Tl 0.500 0.500 0.130 1
Tl2 Tl 0.500 0.500 0.387 1
```

Computed properties:
E_form	-0.349	eV per atom

---

(4)
An optimized crystal structure of Cu2NiPb2, computed with PBE.

```
data_Cu2NiPb2
_cell_length_a 6.735
_cell_length_b 6.735
_cell_length_c 4.093
_cell_angle_alpha 90.00
_cell_angle_beta 90.00
_cell_angle_gamma 90.00
_symmetry_space_group_name_H-M 'P 4/m b m'
_symmetry_Int_Tables_number 127
_symmetry_space_group_name_Hall '-P 4 2ab'
loop_
_atom_site_label
_atom_site_type_symbol
_atom_site_fract_x
_atom_site_fract_y
_atom_site_fract_z
_atom_site_occupancy
Cu1 Cu 0.131 0.369 0.000 1
Ni1 Ni 0.000 0.000 0.000 1
Pb1 Pb 0.179 0.679 0.500 1
```

Computed properties:
E_form	0.316	eV per atom

---

(5)
An optimized crystal structure of Re2SbAu, computed with PBE.

```
data_Re2SbAu
_cell_length_a 3.221
_cell_length_b 3.221
_cell_length_c 6.524
_cell_angle_alpha 90.00
_cell_angle_beta 90.00
_cell_angle_gamma 90.00
_symmetry_space_group_name_H-M 'P 4/m m m'
_symmetry_Int_Tables_number 123
_symmetry_space_group_name_Hall '-P 4 2'
loop_
_atom_site_label
_atom_site_type_symbol
_atom_site_fract_x
_atom_site_fract_y
_atom_site_fract_z
_atom_site_occupancy
Re1 Re 0.000 0.000 0.239 1
Sb1 Sb 0.500 0.500 0.000 1
Au1 Au 0.500 0.500 0.500 1
```

Computed properties:
formation energy (no corrections)	0.769	eV/atom

---

(6)
An optimized crystal structure of NaCdSnHg2, computed with PBE.

```
data_NaCdSnHg2
_cell_length_a 4.9732
_cell_length_b 4.9732
_cell_length_c 6.5454
_cell_angle_alpha 90.00
_cell_angle_beta 90.00
_cell_angle_gamma 120.00
_symmetry_space_group_name_H-M 'P 3 m 1'
_symmetry_Int_Tables_number 156
_symmetry_space_group_name_Hall 'P 3 -2"'
loop_
_atom_site_label
_atom_site_type_symbol
_atom_site_fract_x
_atom_site_fract_y
_atom_site_fract_z
_atom_site_occupancy
Na1 Na 0.0000 0.0000 0.0000 1
Cd1 Cd 0.3333 0.6667 0.6894 1
Sn1 Sn 0.6667 0.3333 0.3049 1
Hg1 Hg 0.3333 0.6667 0.2231 1
Hg2 Hg 0.6667 0.3333 0.7817 1
```

Computed properties:
E_form	-0.068	eV per atom

---

(7)
An optimized crystal structure of AlFe2As, computed with PBE.

```
data_AlFe2As
_cell_length_a 8.556
_cell_length_b 2.965
_cell_length_c 4.107
_cell_angle_alpha 90.00
_cell_angle_beta 106.55
_cell_angle_gamma 90.00
_symmetry_space_group_name_H-M 'C 1 m 1'
_symmetry_Int_Tables_number 8
_symmetry_space_group_name_Hall 'C -2y'
loop_
_atom_site_label
_atom_site_type_symbol
_atom_site_fract_x
_atom_site_fract_y
_atom_site_fract_z
_atom_site_occupancy
Al1 Al 0.000 0.000 0.000 1
Fe1 Fe 0.258 0.000 0.867 1
Fe2 Fe 0.498 0.000 0.497 1
As1 As 0.263 0.500 0.364 1
```

Computed properties:
energy above the lowest structure with this stoichiometry	0.067	eV/atom
E_form	-0.094	eV per atom

---

(8)
An optimized crystal structure of Mg2PbCl, computed with PBE.

```
data_Mg2PbCl
_cell_length_a 8.126
_cell_length_b 7.811
_cell_length_c 3.461
_cell_angle_alpha 90.00
_cell_angle_beta 112.86
_cell_angle_gamma 90.00
_symmetry_space_group_name_H-M 'C 1 2/m 1'
_symmetry_Int_Tables_number 12
_symmetry_space_group_name_Hall '-C 2y'
loop_
_atom_site_label
_atom_site_type_symbol
_atom_site_fract_x
_atom_site_fract_y
_atom_site_fract_z
_atom_site_occupancy
Mg1 Mg 0.250 0.250 0.000 1
Pb1 Pb 0.000 0.000 0.500 1
Cl1 Cl 0.000 0.500 0.500 1
```

Computed properties:
energy above the lowest structure with this stoichiometry	0.148	eV/atom
formation energy (no corrections)	-0.412	eV/atom

---

Table of Fermi-level density of states (states/eV/f.u.), in record order: 5.2 14.9 5.1 2.4 4.0 1.9 3.4 2.0
Table of calculated volume (Å³/cell), in record order: 86 391 211 186 68 140 100 202
Table of theoretical density (kg/m3), in record order: 4509 7086 8889 10738 16960 7762 7103 4779